First-principles (meta-GGA SCAN) data for a crystal of BeSb2MoRu relaxed with PBEsol, as listed in Alexandria.

E_form (uncorrected)   0.85 eV per atom
Total magnetic moment   3.5 μB per cell
Total DFT energy (no corrections)   -28.867 eV per atom

extended XYZ file:
```
5
Lattice="5.0129 0.0000 0.0000 0.0000 5.0129 0.0000 0.0000 0.0000 4.0488" Properties=species:S:1:pos:R:3 pbc="T T T"
Be 0.0000 0.0000 0.0000
Sb 0.0000 2.5064 2.0244
Sb 2.5064 0.0000 2.0244
Mo 2.5064 2.5064 0.0000
Ru 0.0000 0.0000 2.0244
```